No. 1
# Ac6Si2PbCl3 PBE optimized geometry
data_Ac6Si2PbCl3
_chemical_formula_sum 'Ac12 Si4 Pb2 Cl6'
_symmetry_space_group_name_H-M 'C 1 2/m 1'
_symmetry_Int_Tables_number 12
_symmetry_space_group_name_Hall '-C 2y'
_cell_length_a 19.565
_cell_length_b 4.649
_cell_length_c 8.933
_cell_angle_alpha 90.00
_cell_angle_beta 98.88
_cell_angle_gamma 90.00
loop_
_atom_site_label
_atom_site_type_symbol
_atom_site_fract_x
_atom_site_fract_y
_atom_site_fract_z
Ac1 Ac 0.009 0.000 0.262
Ac2 Ac 0.171 0.500 0.108
Ac3 Ac 0.171 0.500 0.576
Si1 Si 0.168 0.000 0.339
Pb1 Pb 0.000 0.500 0.000
Cl1 Cl 0.000 0.500 0.500
Cl2 Cl 0.165 0.000 0.836
# DOS at the Fermi energy, states/eV/atom: 0.471
# Formation energy from raw total energies, meV/atom: -1110
# M_tot, μB per atom: 0.00

No. 2
# Cd2TcPbSe PBE optimized geometry
data_Cd2TcPbSe
_chemical_formula_sum 'Cd2 Tc1 Pb1 Se1'
_symmetry_space_group_name_H-M 'P 4/m m m'
_symmetry_Int_Tables_number 123
_symmetry_space_group_name_Hall '-P 4 2'
_cell_length_a 5.302
_cell_length_b 5.302
_cell_length_c 5.278
_cell_angle_alpha 90.00
_cell_angle_beta 90.00
_cell_angle_gamma 90.00
loop_
_atom_site_label
_atom_site_type_symbol
_atom_site_fract_x
_atom_site_fract_y
_atom_site_fract_z
Cd1 Cd 0.000 0.500 0.000
Tc1 Tc 0.000 0.000 0.000
Pb1 Pb 0.000 0.000 0.500
Se1 Se 0.500 0.500 0.500
# DOS at the Fermi energy, states/eV/atom: 1.174
# Formation energy from raw total energies, meV/atom: 706
# M_tot, μB per atom: 0.44

No. 3
# Zr3TiAl8 PBE optimized geometry
data_Zr3TiAl8
_chemical_formula_sum 'Zr9 Ti3 Al24'
_symmetry_space_group_name_H-M 'R 3 m'
_symmetry_Int_Tables_number 160
_symmetry_space_group_name_Hall 'R 3 -2"'
_cell_length_a 5.2839
_cell_length_b 5.2839
_cell_length_c 25.8554
_cell_angle_alpha 90.00
_cell_angle_beta 90.00
_cell_angle_gamma 120.00
loop_
_atom_site_label
_atom_site_type_symbol
_atom_site_fract_x
_atom_site_fract_y
_atom_site_fract_z
Zr1 Zr 0.0000 0.0000 0.0000
Zr2 Zr 0.0000 0.0000 0.1262
Zr3 Zr 0.0000 0.0000 0.6241
Ti1 Ti 0.0000 0.0000 0.5005
Al1 Al 0.0000 0.0000 0.3126
Al2 Al 0.0000 0.0000 0.8129
Al3 Al 0.9997 0.4998 0.5621
Al4 Al 0.0007 0.5003 0.0634
# DOS at the Fermi energy, states/eV/atom: 0.482
# E_tot, eV/cell: -207.7
# M_tot, μB per atom: 0.00

No. 4
# KBi2Au2 PBE optimized geometry
data_KBi2Au2
_chemical_formula_sum 'K2 Bi4 Au4'
_symmetry_space_group_name_H-M 'P 4/m b m'
_symmetry_Int_Tables_number 127
_symmetry_space_group_name_Hall '-P 4 2ab'
_cell_length_a 8.894
_cell_length_b 8.894
_cell_length_c 3.450
_cell_angle_alpha 90.00
_cell_angle_beta 90.00
_cell_angle_gamma 90.00
loop_
_atom_site_label
_atom_site_type_symbol
_atom_site_fract_x
_atom_site_fract_y
_atom_site_fract_z
K1 K 0.000 0.000 0.000
Bi1 Bi 0.142 0.358 0.500
Au1 Au 0.156 0.656 0.000
# DOS at the Fermi energy, states/eV/atom: 0.308
# E_tot, eV/cell: -31.9
# M_tot, μB per atom: 0.00

No. 5
# K2BaTa PBE optimized geometry
data_K2BaTa
_chemical_formula_sum 'K6 Ba3 Ta3'
_symmetry_space_group_name_H-M 'R -3 m'
_symmetry_Int_Tables_number 166
_symmetry_space_group_name_Hall '-R 3 2"'
_cell_length_a 3.4007
_cell_length_b 3.4007
_cell_length_c 42.6197
_cell_angle_alpha 90.00
_cell_angle_beta 90.00
_cell_angle_gamma 120.00
loop_
_atom_site_label
_atom_site_type_symbol
_atom_site_fract_x
_atom_site_fract_y
_atom_site_fract_z
K1 K 0.0000 0.0000 0.2399
Ba1 Ba 0.0000 0.0000 0.0000
Ta1 Ta 0.0000 0.0000 0.5000
# Excess energy over the best structure of this formula in the dataset, eV/atom: 0.256
# DOS at the Fermi energy, states/eV/atom: 0.965
# M_tot, μB per atom: 0.11

No. 6
# K2LiTa PBE optimized geometry
data_K2LiTa
_chemical_formula_sum 'K2 Li1 Ta1'
_symmetry_space_group_name_H-M 'P m m m'
_symmetry_Int_Tables_number 47
_symmetry_space_group_name_Hall '-P 2 2'
_cell_length_a 2.872
_cell_length_b 6.163
_cell_length_c 6.915
_cell_angle_alpha 90.00
_cell_angle_beta 90.00
_cell_angle_gamma 90.00
loop_
_atom_site_label
_atom_site_type_symbol
_atom_site_fract_x
_atom_site_fract_y
_atom_site_fract_z
K1 K 0.000 0.000 0.243
Li1 Li 0.500 0.500 0.500
Ta1 Ta 0.500 0.500 0.000
# Excess energy over the best structure of this formula in the dataset, eV/atom: 0.218
# DOS at the Fermi energy, states/eV/atom: 1.026
# M_tot, μB per atom: 0.00

No. 7
# LaTcPt2 PBE optimized geometry
data_LaTcPt2
_chemical_formula_sum 'La1 Tc1 Pt2'
_symmetry_space_group_name_H-M 'P m m 2'
_symmetry_Int_Tables_number 25
_symmetry_space_group_name_Hall 'P 2 -2'
_cell_length_a 2.922
_cell_length_b 4.018
_cell_length_c 6.584
_cell_angle_alpha 90.00
_cell_angle_beta 90.00
_cell_angle_gamma 90.00
loop_
_atom_site_label
_atom_site_type_symbol
_atom_site_fract_x
_atom_site_fract_y
_atom_site_fract_z
La1 La 0.000 0.000 0.000
Tc1 Tc 0.500 0.500 0.676
Pt1 Pt 0.000 0.000 0.525
Pt2 Pt 0.500 0.500 0.275
# Excess energy over the best structure of this formula in the dataset, eV/atom: 0.142
# DOS at the Fermi energy, states/eV/atom: 0.826
# M_tot, μB per atom: 0.00

No. 8
# NdEuGdSc PBE optimized geometry
data_NdEuGdSc
_chemical_formula_sum 'Nd4 Eu4 Gd4 Sc4'
_symmetry_space_group_name_H-M 'F -4 3 m'
_symmetry_Int_Tables_number 216
_symmetry_space_group_name_Hall 'F -4 2 3'
_cell_length_a 8.037
_cell_length_b 8.037
_cell_length_c 8.037
_cell_angle_alpha 90.00
_cell_angle_beta 90.00
_cell_angle_gamma 90.00
loop_
_atom_site_label
_atom_site_type_symbol
_atom_site_fract_x
_atom_site_fract_y
_atom_site_fract_z
Nd1 Nd 0.000 0.000 0.000
Eu1 Eu 0.250 0.250 0.250
Gd1 Gd 0.000 0.000 0.500
Sc1 Sc 0.250 0.250 0.750
# DOS at the Fermi energy, states/eV/atom: 1.763
# E_tot, eV/cell: -139.4
# M_tot, μB per atom: 0.02

No. 9
# CaNd3N PBE optimized geometry
data_CaNd3N
_chemical_formula_sum 'Ca1 Nd3 N1'
_symmetry_space_group_name_H-M 'P m -3 m'
_symmetry_Int_Tables_number 221
_symmetry_space_group_name_Hall '-P 4 2 3'
_cell_length_a 5.202
_cell_length_b 5.202
_cell_length_c 5.202
_cell_angle_alpha 90.00
_cell_angle_beta 90.00
_cell_angle_gamma 90.00
loop_
_atom_site_label
_atom_site_type_symbol
_atom_site_fract_x
_atom_site_fract_y
_atom_site_fract_z
Ca1 Ca 0.000 0.000 0.000
Nd1 Nd 0.000 0.500 0.500
N1 N 0.500 0.500 0.500
# DOS at the Fermi energy, states/eV/atom: 1.358
# Formation energy from raw total energies, meV/atom: -422
# M_tot, μB per atom: 0.00

No. 10
# Zr4ScTi PBE optimized geometry
data_Zr4ScTi
_chemical_formula_sum 'Zr8 Sc2 Ti2'
_symmetry_space_group_name_H-M 'P -1'
_symmetry_Int_Tables_number 2
_symmetry_space_group_name_Hall '-P 1'
_cell_length_a 5.386
_cell_length_b 6.009
_cell_length_c 8.728
_cell_angle_alpha 106.57
_cell_angle_beta 91.85
_cell_angle_gamma 90.27
loop_
_atom_site_label
_atom_site_type_symbol
_atom_site_fract_x
_atom_site_fract_y
_atom_site_fract_z
Zr1 Zr 0.156 0.360 0.274
Zr2 Zr 0.290 0.856 0.254
Zr3 Zr 0.323 0.551 0.886
Zr4 Zr 0.332 0.726 0.574
Sc1 Sc 0.230 0.066 0.920
Ti1 Ti 0.177 0.206 0.577
# Excess energy over the best structure of this formula in the dataset, eV/atom: 0.000
# DOS at the Fermi energy, states/eV/atom: 0.929
# M_tot, μB per atom: 0.00

No. 11
# KMn2Zn PBE optimized geometry
data_KMn2Zn
_chemical_formula_sum 'K1 Mn2 Zn1'
_symmetry_space_group_name_H-M 'P m m m'
_symmetry_Int_Tables_number 47
_symmetry_space_group_name_Hall '-P 2 2'
_cell_length_a 2.990
_cell_length_b 5.221
_cell_length_c 5.235
_cell_angle_alpha 90.00
_cell_angle_beta 90.00
_cell_angle_gamma 90.00
loop_
_atom_site_label
_atom_site_type_symbol
_atom_site_fract_x
_atom_site_fract_y
_atom_site_fract_z
K1 K 0.000 0.000 0.000
Mn1 Mn 0.000 0.500 0.500
Mn2 Mn 0.500 0.500 0.000
Zn1 Zn 0.500 0.000 0.500
# DOS at the Fermi energy, states/eV/atom: 0.948
# E_tot, eV/cell: -17.0
# M_tot, μB per atom: 1.94

No. 12
# AsWN3 PBE optimized geometry
data_AsWN3
_chemical_formula_sum 'As1 W1 N3'
_symmetry_space_group_name_H-M 'P m -3 m'
_symmetry_Int_Tables_number 221
_symmetry_space_group_name_Hall '-P 4 2 3'
_cell_length_a 3.688
_cell_length_b 3.688
_cell_length_c 3.688
_cell_angle_alpha 90.00
_cell_angle_beta 90.00
_cell_angle_gamma 90.00
loop_
_atom_site_label
_atom_site_type_symbol
_atom_site_fract_x
_atom_site_fract_y
_atom_site_fract_z
As1 As 0.000 0.000 0.000
W1 W 0.500 0.500 0.500
N1 N 0.000 0.000 0.500
# DOS at the Fermi energy, states/eV/atom: 0.872
# Formation energy from raw total energies, meV/atom: 1614
# M_tot, μB per atom: 0.00